# MnFe5Co4 (PBE-GGA, relaxed)
data_MnFe5Co4
_space_group_name_H-M_alt 'P 1'
_space_group_IT_number 1
_cell_length_a 6.247
_cell_length_b 6.247
_cell_length_c 5.562
_cell_angle_alpha 90.55
_cell_angle_beta 90.55
_cell_angle_gamma 36.78
loop_
_space_group_symop_operation_xyz
'x,y,z'
loop_
_atom_site_label
_atom_site_type_symbol
_atom_site_fract_x
_atom_site_fract_y
_atom_site_fract_z
Mn1 Mn 0.000 0.000 0.000
Fe1 Fe 0.000 0.000 0.500
Fe2 Fe 0.328 0.328 0.992
Fe3 Fe 0.329 0.329 0.511
Fe4 Fe 0.671 0.671 0.489
Fe5 Fe 0.672 0.672 0.008
Co1 Co 0.165 0.165 0.746
Co2 Co 0.497 0.497 0.253
Co3 Co 0.503 0.503 0.747
Co4 Co 0.835 0.835 0.254
# space-group type	C2/m, No. 12
# ΔH_f (0 K)	271.0	meV per atom